Record 1
Computed, not measured: Pm4PrNi after structural relaxation at the GGA-PBE level of DFT.

POSCAR file:
```
Pm4PrNi
1.0
8.8870 -3.7094 0.0000
8.8870 3.7094 0.0000
-2.0788 0.0000 5.7131
Pm Pr Ni
8 2 2
Direct
0.1341 0.6332 0.3838
0.2323 0.7677 0.0000
0.3232 0.3232 0.8228
0.3668 0.8659 0.6162
0.6332 0.1341 0.3838
0.6768 0.6768 0.1772
0.7677 0.2323 0.0000
0.8659 0.3668 0.6162
0.1970 0.1970 0.1964
0.8030 0.8030 0.8036
0.4999 0.4999 0.3023
0.5001 0.5001 0.6977
```

Results
- DFT formation energy: -0.0542 eV per atom



Record 2
Computed, not measured: Pm3PrNi after structural relaxation at the GGA-PBE level of DFT.

POSCAR file:
```
Pm3PrNi
1.0
7.6979 0.0000 0.0000
-3.8489 6.6665 0.0000
0.0000 0.0000 6.0238
Pm Pr Ni
6 2 2
Direct
0.1762 0.3524 0.2500
0.1762 0.8238 0.2500
0.3524 0.1762 0.7500
0.6476 0.8238 0.2500
0.8238 0.1762 0.7500
0.8238 0.6476 0.7500
0.3333 0.6667 0.7500
0.6667 0.3333 0.2500
0.0000 0.0000 0.0000
0.0000 0.0000 0.5000
```

Results
- DFT formation energy: -0.0473 eV per atom



Record 3
Computed, not measured: Pm3PrNi2 after structural relaxation at the GGA-PBE level of DFT.

POSCAR file:
```
Pm3PrNi2
1.0
7.9506 -2.1496 0.0000
7.9506 2.1496 0.0000
-7.7483 0.0000 9.8367
Pm Pr Ni
6 2 4
Direct
0.0765 0.0765 0.4286
0.1279 0.1279 0.9490
0.3501 0.3501 0.2980
0.6499 0.6499 0.7020
0.8721 0.8721 0.0510
0.9235 0.9235 0.5714
0.3623 0.3623 0.7502
0.6377 0.6377 0.2498
0.2595 0.2595 0.8723
0.2663 0.2663 0.4561
0.7337 0.7337 0.5439
0.7405 0.7405 0.1277
```

Results
- DFT formation energy: -0.1590 eV per atom



Record 4
Computed, not measured: PmPr3Ni2 after structural relaxation at the GGA-PBE level of DFT.

POSCAR file:
```
PmPr3Ni2
1.0
8.3552 -2.0018 0.0000
8.3552 2.0018 0.0000
-6.6884 0.0000 9.8584
Pm Pr Ni
2 6 4
Direct
0.1567 0.1567 0.2511
0.8433 0.8433 0.7489
0.1546 0.1546 0.7492
0.4174 0.4174 0.5595
0.4184 0.4184 0.0571
0.5816 0.5816 0.9429
0.5826 0.5826 0.4405
0.8454 0.8454 0.2508
0.2326 0.2326 0.0494
0.2330 0.2330 0.5488
0.7670 0.7670 0.4512
0.7674 0.7674 0.9506
```

Results
- DFT formation energy: -0.1996 eV per atom



Record 5
Computed, not measured: PmPr3Ni after structural relaxation at the GGA-PBE level of DFT.

POSCAR file:
```
PmPr3Ni
1.0
5.4813 0.0000 0.0000
0.0079 7.6475 0.0000
0.0081 0.6253 7.6356
Pm Pr Ni
2 6 2
Direct
0.0000 0.0000 0.0000
0.0000 0.4696 0.5309
0.0002 0.9810 0.5110
0.4994 0.2774 0.2634
0.4994 0.7336 0.8058
0.4998 0.2645 0.7953
0.5015 0.7612 0.2901
0.9993 0.4688 0.9985
0.0023 0.7149 0.2461
0.5002 0.0208 0.5489
```

Results
- DFT formation energy: -0.0199 eV per atom



Record 6
Computed, not measured: Pm4PrNi4 after structural relaxation at the GGA-PBE level of DFT.

POSCAR file:
```
Pm4PrNi4
1.0
8.6693 0.0000 0.0000
0.0000 8.6693 0.0000
0.0000 0.0000 5.8648
Pm Pr Ni
8 2 8
Direct
0.0628 0.6632 0.1538
0.1632 0.9372 0.6538
0.3368 0.5628 0.6538
0.4372 0.8368 0.1538
0.5628 0.1632 0.8462
0.6632 0.4372 0.3462
0.8368 0.0628 0.3462
0.9372 0.3368 0.8462
0.2500 0.2500 0.2500
0.7500 0.7500 0.7500
0.0282 0.6153 0.6347
0.1153 0.9718 0.1347
0.3847 0.5282 0.1347
0.4718 0.8847 0.6347
0.5282 0.1153 0.3653
0.6153 0.4718 0.8653
0.8847 0.0282 0.8653
0.9718 0.3847 0.3653
```

Results
- DFT formation energy: -0.1843 eV per atom



One value per record, in order, for magnetic moment: 0.00; 0.00; 0.00; 0.00; 0.00; 0.00 μB per atom.